[1]
DFT (PBE-GGA) results for TlSnClF2 after structural relaxation.

Output
* total magnetic moment: 0.000 μB/f.u.
* formation energy (no corrections): -1.6772 eV/atom
* VASP energy: -0.2991 Ry per atom
* space group: P4/mmm

Unit cell a=4.672 b=4.672 c=5.900 alpha=90.00 beta=90.00 gamma=90.00
Element x y z (fractional)
Tl 0.000 0.000 0.000
Sn 0.500 0.500 0.500
Cl 0.500 0.500 0.000
F 0.000 0.500 0.500
F 0.500 0.000 0.500

***

[2]
DFT (PBE-GGA) results for Bi2Pd2Pb after structural relaxation.

Output
* total magnetic moment: 0.000 μB/f.u.
* VASP energy: -0.3250 Ry per atom
* space group: I4/mmm
* ΔE_f: -0.050 eV/atom

Unit cell a=4.878 b=4.878 c=11.000 alpha=90.00 beta=90.00 gamma=90.00
Element x y z (fractional)
Bi 0.000 0.500 0.250
Bi 0.000 0.500 0.750
Bi 0.500 0.000 0.250
Bi 0.500 0.000 0.750
Pd 0.000 0.000 0.121
Pd 0.000 0.000 0.879
Pd 0.500 0.500 0.379
Pd 0.500 0.500 0.621
Pb 0.000 0.000 0.500
Pb 0.500 0.500 0.000

***

[3]
DFT (PBE-GGA) results for Rb4Ag2Hg3 after structural relaxation.

Output
* total magnetic moment: 0.000 μB/f.u.
* VASP energy: -0.0928 Ry per atom
* space group: C2/m
* ΔE_f: -0.098 eV/atom

Unit cell a=9.755 b=9.755 c=8.452 alpha=107.75 beta=107.75 gamma=28.29
Element x y z (fractional)
Rb 0.073 0.073 0.376
Rb 0.266 0.266 0.805
Rb 0.734 0.734 0.195
Rb 0.927 0.927 0.624
Ag 0.093 0.093 0.954
Ag 0.907 0.907 0.046
Hg 0.400 0.400 0.253
Hg 0.500 0.500 0.000
Hg 0.600 0.600 0.747

***

[4]
DFT (PBE-GGA) results for LaTcBi2 after structural relaxation.

Output
* total magnetic moment: 0.001 μB/f.u.
* VASP energy: -0.3961 Ry per atom
* space group: I-42d
* ΔE_f: 0.375 eV/atom

Unit cell a=5.375 b=5.375 c=17.956 alpha=90.00 beta=90.00 gamma=90.00
Element x y z (fractional)
La 0.000 0.000 0.000
La 0.000 0.500 0.250
La 0.500 0.000 0.750
La 0.500 0.500 0.500
Tc 0.000 0.000 0.500
Tc 0.000 0.500 0.750
Tc 0.500 0.000 0.250
Tc 0.500 0.500 0.000
Bi 0.147 0.250 0.625
Bi 0.250 0.647 0.875
Bi 0.250 0.853 0.375
Bi 0.353 0.250 0.125
Bi 0.647 0.750 0.125
Bi 0.750 0.147 0.375
Bi 0.750 0.353 0.875
Bi 0.853 0.750 0.625

***

[5]
DFT (PBE-GGA) results for ReAsBr2O after structural relaxation.

Output
* total magnetic moment: 0.002 μB/f.u.
* formation energy (no corrections): 1.0211 eV/atom
* VASP energy: -0.2983 Ry per atom
* space group: P4/mmm

Unit cell a=4.987 b=4.987 c=4.800 alpha=90.00 beta=90.00 gamma=90.00
Element x y z (fractional)
Re 0.000 0.000 0.000
As 0.000 0.000 0.500
Br 0.000 0.500 0.000
Br 0.500 0.000 0.000
O 0.500 0.500 0.500

***

[6]
DFT (PBE-GGA) results for AcPm2Sm after structural relaxation.

Output
* total magnetic moment: 0.000 μB/f.u.
* VASP energy: -0.3345 Ry per atom
* space group: P4/mmm
* ΔE_f: 0.031 eV/atom

Unit cell a=5.263 b=5.263 c=5.273 alpha=90.00 beta=90.00 gamma=90.00
Element x y z (fractional)
Ac 0.000 0.000 0.000
Pm 0.000 0.500 0.500
Pm 0.500 0.000 0.500
Sm 0.500 0.500 0.000

***

[7]
DFT (PBE-GGA) results for Ce8Tc2Ru3 after structural relaxation.

Output
* total magnetic moment: 3.013 μB/f.u.
* VASP energy: -0.5500 Ry per atom
* space group: C2/m
* ΔE_f: -0.096 eV/atom

Unit cell a=8.403 b=8.403 c=6.823 alpha=110.94 beta=110.94 gamma=51.86
Element x y z (fractional)
Ce 0.103 0.103 0.413
Ce 0.139 0.625 0.092
Ce 0.358 0.358 0.571
Ce 0.375 0.861 0.908
Ce 0.625 0.139 0.092
Ce 0.642 0.642 0.429
Ce 0.861 0.375 0.908
Ce 0.897 0.897 0.587
Tc 0.258 0.258 0.757
Tc 0.742 0.742 0.243
Ru 0.000 0.000 0.000
Ru 0.305 0.695 0.500
Ru 0.695 0.305 0.500

***

[8]
DFT (PBE-GGA) results for La4Tb2DyHo after structural relaxation.

Output
* total magnetic moment: 0.000 μB/f.u.
* VASP energy: -0.3490 Ry per atom
* space group: Pmmm
* ΔE_f: 0.020 eV/atom

Unit cell a=5.220 b=5.257 c=9.977 alpha=90.00 beta=90.00 gamma=90.00
Element x y z (fractional)
La 0.000 0.000 0.250
La 0.000 0.000 0.750
La 0.500 0.500 0.250
La 0.500 0.500 0.750
Tb 0.000 0.500 0.000
Tb 0.500 0.000 0.500
Dy 0.000 0.500 0.500
Ho 0.500 0.000 0.000

***

[9]
DFT (PBE-GGA) results for ZnCoP2 after structural relaxation.

Output
* total magnetic moment: 0.000 μB/f.u.
* VASP energy: -0.3480 Ry per atom
* space group: P4/mmm
* ΔE_f: 0.066 eV/atom

Unit cell a=2.765 b=2.765 c=7.089 alpha=90.00 beta=90.00 gamma=90.00
Element x y z (fractional)
Zn 0.000 0.000 0.000
Co 0.000 0.000 0.500
P 0.500 0.500 0.301
P 0.500 0.500 0.699

***

[10]
DFT (PBE-GGA) results for SrNdEuLu after structural relaxation.

Output
* total magnetic moment: 7.744 μB/f.u.
* VASP energy: -0.3759 Ry per atom
* space group: F-43m
* ΔE_f: 0.197 eV/atom

Unit cell a=8.487 b=8.487 c=8.487 alpha=90.00 beta=90.00 gamma=90.00
Element x y z (fractional)
Sr 0.000 0.000 0.000
Sr 0.000 0.500 0.500
Sr 0.500 0.000 0.500
Sr 0.500 0.500 0.000
Nd 0.000 0.000 0.500
Nd 0.000 0.500 0.000
Nd 0.500 0.000 0.000
Nd 0.500 0.500 0.500
Eu 0.250 0.250 0.250
Eu 0.250 0.750 0.750
Eu 0.750 0.250 0.750
Eu 0.750 0.750 0.250
Lu 0.250 0.250 0.750
Lu 0.250 0.750 0.250
Lu 0.750 0.250 0.250
Lu 0.750 0.750 0.750

***

[11]
DFT (PBE-GGA) results for NaHgSb2Pb2 after structural relaxation.

Output
* total magnetic moment: 0.000 μB/f.u.
* formation energy (no corrections): -0.0888 eV/atom
* VASP energy: -0.2182 Ry per atom
* space group: Pmc2_1

Unit cell a=4.591 b=9.782 c=8.224 alpha=90.00 beta=90.00 gamma=90.00
Element x y z (fractional)
Na 0.000 0.068 0.000
Na 0.000 0.932 0.500
Hg 0.500 0.177 0.727
Hg 0.500 0.823 0.227
Sb 0.000 0.384 0.826
Sb 0.000 0.616 0.326
Sb 0.500 0.129 0.280
Sb 0.500 0.871 0.780
Pb 0.000 0.303 0.440
Pb 0.000 0.697 0.940
Pb 0.500 0.419 0.102
Pb 0.500 0.581 0.602

***

[12]
DFT (PBE-GGA) results for Mn2NbRe after structural relaxation.

Output
* total magnetic moment: 0.001 μB/f.u.
* VASP energy: -0.7453 Ry per atom
* space group: Fm-3m
* ΔE_f: 0.074 eV/atom

Unit cell a=6.026 b=6.026 c=6.026 alpha=90.00 beta=90.00 gamma=90.00
Element x y z (fractional)
Mn 0.250 0.250 0.250
Mn 0.250 0.250 0.750
Mn 0.250 0.750 0.250
Mn 0.250 0.750 0.750
Mn 0.750 0.250 0.250
Mn 0.750 0.250 0.750
Mn 0.750 0.750 0.250
Mn 0.750 0.750 0.750
Nb 0.000 0.000 0.000
Nb 0.000 0.500 0.500
Nb 0.500 0.000 0.500
Nb 0.500 0.500 0.000
Re 0.000 0.000 0.500
Re 0.000 0.500 0.000
Re 0.500 0.000 0.000
Re 0.500 0.500 0.500

***

[13]
DFT (PBE-GGA) results for Ba3PbSe4 after structural relaxation.

Output
* total magnetic moment: 0.000 μB/f.u.
* formation energy (no corrections): -1.5790 eV/atom
* VASP energy: -0.3312 Ry per atom
* space group: Pmn2_1

Unit cell a=11.063 b=9.521 c=6.586 alpha=90.00 beta=90.00 gamma=90.00
Element x y z (fractional)
Ba 0.000 0.155 0.000
Ba 0.248 0.331 0.500
Ba 0.252 0.669 0.000
Ba 0.500 0.845 0.500
Ba 0.748 0.669 0.000
Ba 0.752 0.331 0.500
Pb 0.000 0.827 0.474
Pb 0.500 0.173 0.974
Se 0.000 0.148 0.499
Se 0.000 0.824 0.032
Se 0.246 0.673 0.499
Se 0.254 0.327 0.999
Se 0.500 0.176 0.532
Se 0.500 0.852 0.999
Se 0.746 0.327 0.999
Se 0.754 0.673 0.499